This record from Alexandria describes a relaxed structure of Cu2HgPd6. The functional is PBE-GGA.

Values from the calculation:
E_form in kJ/mol of atoms: -7.5
Crystal system: monoclinic
SG: C2/m

Structure (extended XYZ):
```
9
Lattice="4.3778 -1.9660 0.0000 4.3778 1.9660 0.0000 -2.4702 0.0000 8.0251" Properties=species:S:1:pos:R:3 pbc="T T T"
Cu 0.9561 0.0000 1.8643
Cu 5.3294 0.0000 6.1608
Hg 4.3778 0.0000 0.0000
Pd -0.7276 0.0000 7.0926
Pd 0.1008 0.0000 4.4463
Pd 2.7221 0.0000 5.3404
Pd 3.5634 0.0000 2.6847
Pd 6.1847 0.0000 3.5788
Pd 7.0131 0.0000 0.9325
```